Below is ZrSbTeI2 after structural relaxation, with properties calculated at the PBE-GGA level.

a b c (Å): 5.5116 5.5116 6.0061
angles (deg): 90.00 90.00 90.00
With the nearest neighbours (Å) after each atom.
Sites, in units of the cell vectors:
Zr  0.0000  0.0000  0.0000  4 I 2.76, 2 Sb 3.00
Sb  0.0000  0.0000  0.5000  2 Zr 3.00
Te  0.5000  0.5000  0.5000  4 Sb 3.90, 8 I 4.08
I  0.0000  0.5000  0.0000  2 Zr 2.76
I  0.5000  0.0000  0.0000  2 Zr 2.76

Computed properties:
As for the polymorph energy (0 for the lowest one): 48 meV/atom. The value obtained for the uncorrected formation energy is 45 meV per atom.

=====

Below is ZrSbTe2I after structural relaxation, with properties calculated at the PBE-GGA level.

a b c (Å): 5.6625 5.6625 5.6872
angles (deg): 90.00 90.00 90.00
With the nearest neighbours (Å) after each atom.
Sites, in units of the cell vectors:
Zr  0.0000  0.0000  0.0000  4 Te 2.83, 2 I 2.84
Sb  0.5000  0.5000  0.5000  4 I 4.00, 8 Te 4.01
Te  0.0000  0.5000  0.0000  2 Zr 2.83
Te  0.5000  0.0000  0.0000  2 Zr 2.83
I  0.0000  0.0000  0.5000  2 Zr 2.84

Computed properties:
As for the polymorph energy (0 for the lowest one): 78 meV/atom. The value obtained for the uncorrected formation energy is 34 meV per atom.